[1]
First-principles (PBE-GGA) data for a relaxed structure of TiAu2Cl, as listed in the Alexandria database.

Cell lengths 4.739, 4.739, 4.739 Å; angles 60.00, 60.00, 60.00 degrees
Fractional coordinates of all 4 atoms:
Au (0.750, 0.750, 0.750)
Au (0.250, 0.250, 0.250)
Ti (0.500, 0.500, 0.500)
Cl (0.000, 0.000, 0.000)

Calculated values
The calculation puts the energy above the most stable polymorph in this dataset at 1.27 eV/f.u. Its total magnetization is 0.00 μB per formula unit.

[2]
First-principles (PBE-GGA) data for a relaxed structure of K2SrSn2, as listed in the Alexandria database.

Cell lengths 4.972, 4.972, 8.667 Å; angles 73.33, 73.33, 90.00 degrees
Fractional coordinates of all 5 atoms:
K (0.250, 0.750, 0.500)
K (0.750, 0.250, 0.500)
Sn (0.413, 0.413, 0.174)
Sn (0.587, 0.587, 0.826)
Sr (0.000, 0.000, 0.000)

Calculated values
The calculation puts the energy above the most stable polymorph in this dataset at 0.00 eV/f.u. The calculation puts the energy relative to the elements at -0.2406 eV per atom. Its total magnetization is 0.00 μB per formula unit.

[3]
First-principles (PBE-GGA) data for a relaxed structure of HgSbSe2, as listed in the Alexandria database.

Cell lengths 5.073, 5.073, 3.648 Å; angles 90.00, 90.00, 90.05 degrees
Fractional coordinates of all 4 atoms:
Se (0.500, 0.500, 0.000)
Se (0.000, 0.000, 0.000)
Hg (0.500, 0.000, 0.500)
Sb (0.000, 0.500, 0.500)

Calculated values
The calculation puts the energy above the most stable polymorph in this dataset at 1.32 eV/f.u. Its total magnetization is 0.00 μB per formula unit.